<P>
{"formula": "Ti2VSiP", "functional": "PBE-GGA", "state": "optimized geometry", "lattice": [[4.469, 0.000, 0.000], [0.000, 4.469, 0.000], [0.000, 0.000, 4.398]], "species": ["Ti", "Ti", "V", "Si", "P"], "fractional_positions": [[0.000, 0.500, 0.000], [0.500, 0.000, 0.000], [0.000, 0.000, 0.500], [0.500, 0.500, 0.500], [0.500, 0.500, 0.000]], "sg": "No. 123", "volume_a3_per_cell": 88}

***

<Q>
{"formula": "Ti2VSiP", "functional": "PBE-GGA", "state": "optimized geometry", "lattice": [[4.576, 0.000, 0.000], [0.000, 4.576, 0.000], [0.000, 0.000, 4.317]], "species": ["Ti", "Ti", "V", "Si", "P"], "fractional_positions": [[0.000, 0.500, 0.000], [0.500, 0.000, 0.000], [0.000, 0.000, 0.000], [0.500, 0.500, 0.500], [0.000, 0.000, 0.500]], "sg": "No. 123", "volume_a3_per_cell": 90}

***

Short version: <Q> is the least stable of them.

***

<P>
{"formula": "Tl2SiP", "functional": "PBE-GGA", "state": "optimized geometry", "lattice": [[-3.106, 3.106, 6.030], [3.106, -3.106, 6.030], [3.106, 3.106, -6.030]], "species": ["Tl", "Tl", "Tl", "Tl", "Si", "Si", "P", "P"], "fractional_positions": [[0.123, 0.625, 0.998], [0.375, 0.373, 0.498], [0.627, 0.125, 0.002], [0.875, 0.877, 0.502], [0.250, 0.750, 0.500], [0.500, 0.500, 0.000], [0.000, 0.000, 0.000], [0.750, 0.250, 0.500]], "sg": "No. 122", "volume_a3_per_cell": 233}

***

<Q>
{"formula": "Tl2SiP", "functional": "PBE-GGA", "state": "optimized geometry", "lattice": [[1.609, 0.929, 10.448], [-1.609, 0.929, 10.448], [0.000, -1.858, 10.448]], "species": ["Tl", "Tl", "Si", "P"], "fractional_positions": [[0.248, 0.248, 0.248], [0.752, 0.752, 0.752], [0.000, 0.000, 0.000], [0.500, 0.500, 0.500]], "sg": "No. 166", "volume_a3_per_cell": 94}

***

Short version: <Q> is the least stable of them.

***

<P>
{"formula": "Tl2SiP", "functional": "PBE-GGA", "state": "optimized geometry", "lattice": [[0.000, 3.586, 3.586], [3.586, 0.000, 3.586], [3.586, 3.586, 0.000]], "species": ["Tl", "Tl", "Si", "P"], "fractional_positions": [[0.250, 0.250, 0.250], [0.750, 0.750, 0.750], [0.000, 0.000, 0.000], [0.500, 0.500, 0.500]], "sg": "No. 225", "volume_a3_per_cell": 92}

***

<Q>
{"formula": "Tl2SiP", "functional": "PBE-GGA", "state": "optimized geometry", "lattice": [[4.033, 0.000, 0.000], [0.000, 3.463, 0.000], [-1.903, 0.000, 7.469]], "species": ["Tl", "Tl", "Si", "P"], "fractional_positions": [[0.000, 0.000, 0.000], [0.318, 0.500, 0.646], [0.606, 0.500, 0.226], [0.711, 0.000, 0.419]], "sg": "No. 6", "volume_a3_per_cell": 104}

***

<R>
{"formula": "Tl2SiP", "functional": "PBE-GGA", "state": "optimized geometry", "lattice": [[5.732, -1.742, 0.000], [5.732, 1.742, 0.000], [-2.912, 0.000, 5.115]], "species": ["Tl", "Tl", "Si", "P"], "fractional_positions": [[0.000, 0.000, 0.000], [0.181, 0.181, 0.695], [0.772, 0.772, 0.347], [0.395, 0.395, 0.339]], "sg": "No. 8", "volume_a3_per_cell": 102}

***

<S>
{"formula": "Tl2SiP", "functional": "PBE-GGA", "state": "optimized geometry", "lattice": [[3.049, 0.000, 0.000], [0.000, 3.930, 0.000], [-0.881, 0.000, 7.991]], "species": ["Tl", "Tl", "Si", "P"], "fractional_positions": [[0.243, 0.000, 0.243], [0.757, 0.000, 0.757], [0.500, 0.500, 0.500], [0.000, 0.500, 0.000]], "sg": "No. 10", "volume_a3_per_cell": 96}

***

Short version: <P> is the least stable of them.

***

<P>
{"formula": "Tl2SiP", "functional": "PBE-GGA", "state": "optimized geometry", "lattice": [[-2.354, 2.354, 4.226], [2.354, -2.354, 4.226], [2.354, 2.354, -4.226]], "species": ["Tl", "Tl", "Si", "P"], "fractional_positions": [[0.000, 0.000, 0.000], [0.750, 0.250, 0.500], [0.500, 0.500, 0.000], [0.250, 0.750, 0.500]], "sg": "No. 119", "volume_a3_per_cell": 94}

***

<Q>
{"formula": "Tl2SiP", "functional": "PBE-GGA", "state": "optimized geometry", "lattice": [[-1.709, 1.725, 8.449], [1.709, -1.725, 8.449], [1.709, 1.725, -8.449]], "species": ["Tl", "Tl", "Si", "P"], "fractional_positions": [[0.161, 0.161, 0.000], [0.839, 0.839, 0.000], [0.000, 0.500, 0.500], [0.500, 0.000, 0.500]], "sg": "No. 71", "volume_a3_per_cell": 100}

***

<R>
{"formula": "Tl2SiP", "functional": "PBE-GGA", "state": "optimized geometry", "lattice": [[0.000, 3.615, 3.615], [3.615, 0.000, 3.615], [3.615, 3.615, 0.000]], "species": ["Tl", "Tl", "Si", "P"], "fractional_positions": [[0.000, 0.000, 0.000], [0.250, 0.250, 0.250], [0.500, 0.500, 0.500], [0.750, 0.750, 0.750]], "sg": "No. 216", "volume_a3_per_cell": 95}

***

<S>
{"formula": "Tl2SiP", "functional": "PBE-GGA", "state": "optimized geometry", "lattice": [[1.773, 1.024, 8.982], [-1.773, 1.024, 8.982], [0.000, -2.047, 8.982]], "species": ["Tl", "Tl", "Si", "P"], "fractional_positions": [[0.000, 0.000, 0.000], [0.228, 0.228, 0.228], [0.469, 0.469, 0.469], [0.762, 0.762, 0.762]], "sg": "No. 160", "volume_a3_per_cell": 98}

***

Short version: <R> is the least stable of them.

***

<P>
{"formula": "Tl2SiP", "functional": "PBE-GGA", "state": "optimized geometry", "lattice": [[3.785, 0.000, 0.000], [0.000, 3.785, 0.000], [0.000, 0.000, 6.458]], "species": ["Tl", "Tl", "Si", "P"], "fractional_positions": [[0.000, 0.000, 0.242], [0.000, 0.000, 0.758], [0.500, 0.500, 0.500], [0.500, 0.500, 0.000]], "sg": "No. 123", "volume_a3_per_cell": 92}

***

<Q>
{"formula": "Tl2SiP", "functional": "PBE-GGA", "state": "optimized geometry", "lattice": [[3.207, -4.712, 0.000], [3.207, 4.712, 0.000], [-0.615, 0.000, 3.062]], "species": ["Tl", "Tl", "Si", "P"], "fractional_positions": [[0.000, 0.500, 0.000], [0.500, 0.000, 0.000], [0.000, 0.000, 0.500], [0.500, 0.500, 0.500]], "sg": "No. 12", "volume_a3_per_cell": 93}

***

Short version: <Q> is the least stable of them.

***

<P>
{"formula": "Tl2SiP", "functional": "PBE-GGA", "state": "optimized geometry", "lattice": [[3.383, 0.000, 0.000], [0.000, 3.383, 0.000], [0.000, 0.000, 8.390]], "species": ["Tl", "Tl", "Si", "P"], "fractional_positions": [[0.000, 0.000, 0.000], [0.500, 0.500, 0.334], [0.500, 0.500, 0.694], [0.000, 0.000, 0.646]], "sg": "No. 99", "volume_a3_per_cell": 96}

***

<Q>
{"formula": "Tl2SiP", "functional": "PBE-GGA", "state": "optimized geometry", "lattice": [[2.053, -2.529, 0.000], [2.053, 2.529, 0.000], [0.000, 0.000, 8.960]], "species": ["Tl", "Tl", "Si", "P"], "fractional_positions": [[0.000, 0.000, 0.245], [0.000, 0.000, 0.755], [0.500, 0.500, 0.500], [0.500, 0.500, 0.000]], "sg": "No. 65", "volume_a3_per_cell": 93}

***

<R>
{"formula": "Tl2SiP", "functional": "PBE-GGA", "state": "optimized geometry", "lattice": [[4.401, 0.000, 0.000], [0.000, 4.466, 0.000], [0.000, 0.000, 4.808]], "species": ["Tl", "Tl", "Si", "P"], "fractional_positions": [[0.000, 0.000, 0.000], [0.500, 0.500, 0.000], [0.000, 0.500, 0.500], [0.500, 0.000, 0.500]], "sg": "No. 47", "volume_a3_per_cell": 95}

***

Short version: <Q> is the least stable of them.

***

<P>
{"formula": "TlSi2P", "functional": "PBE-GGA", "state": "optimized geometry", "lattice": [[1.784, 1.030, 7.202], [-1.784, 1.030, 7.202], [0.000, -2.060, 7.202]], "species": ["Tl", "Si", "Si", "P"], "fractional_positions": [[0.000, 0.000, 0.000], [0.230, 0.230, 0.230], [0.770, 0.770, 0.770], [0.500, 0.500, 0.500]], "sg": "No. 166", "volume_a3_per_cell": 79}

***

<Q>
{"formula": "TlSi2P", "functional": "PBE-GGA", "state": "optimized geometry", "lattice": [[-2.901, 2.901, 5.545], [2.901, -2.901, 5.545], [2.901, 2.901, -5.545]], "species": ["Tl", "Tl", "Si", "Si", "Si", "Si", "P", "P"], "fractional_positions": [[0.000, 0.000, 0.000], [0.750, 0.250, 0.500], [0.170, 0.625, 0.045], [0.375, 0.420, 0.545], [0.580, 0.125, 0.955], [0.875, 0.830, 0.455], [0.250, 0.750, 0.500], [0.500, 0.500, 0.000]], "sg": "No. 122", "volume_a3_per_cell": 187}

***

Short version: <P> is the least stable of them.

***

<P>
{"formula": "TlSiP2", "functional": "PBE-GGA", "state": "optimized geometry", "lattice": [[4.877, -1.646, 0.000], [4.877, 1.646, 0.000], [-2.846, 0.000, 5.551]], "species": ["Tl", "Si", "P", "P"], "fractional_positions": [[0.000, 0.000, 0.000], [0.733, 0.733, 0.481], [0.091, 0.091, 0.569], [0.386, 0.386, 0.420]], "sg": "No. 8", "volume_a3_per_cell": 89}

***

<Q>
{"formula": "TlSiP2", "functional": "PBE-GGA", "state": "optimized geometry", "lattice": [[-3.227, 3.227, 4.406], [3.227, -3.227, 4.406], [3.227, 3.227, -4.406]], "species": ["Tl", "Tl", "Si", "Si", "P", "P", "P", "P"], "fractional_positions": [[0.000, 0.000, 0.000], [0.750, 0.250, 0.500], [0.250, 0.750, 0.500], [0.500, 0.500, 0.000], [0.199, 0.625, 0.074], [0.375, 0.449, 0.574], [0.551, 0.125, 0.926], [0.875, 0.801, 0.426]], "sg": "No. 122", "volume_a3_per_cell": 184}

***

<R>
{"formula": "TlSiP2", "functional": "PBE-GGA", "state": "optimized geometry", "lattice": [[2.388, -2.467, 0.000], [2.388, 2.467, 0.000], [0.000, 0.000, 6.979]], "species": ["Tl", "Si", "P", "P"], "fractional_positions": [[0.000, 0.000, 0.000], [0.000, 0.000, 0.500], [0.500, 0.500, 0.343], [0.500, 0.500, 0.657]], "sg": "No. 65", "volume_a3_per_cell": 82}

***

<S>
{"formula": "TlSiP2", "functional": "PBE-GGA", "state": "optimized geometry", "lattice": [[3.220, 0.000, 0.000], [0.000, 4.922, 0.000], [-0.734, 0.000, 5.586]], "species": ["Tl", "Si", "P", "P"], "fractional_positions": [[0.000, 0.000, 0.000], [0.500, 0.000, 0.500], [0.281, 0.500, 0.634], [0.719, 0.500, 0.366]], "sg": "No. 10", "volume_a3_per_cell": 89}

***

Short version: <R> is the least stable of them.

***

<P>
{"formula": "VSiP3", "functional": "PBE-GGA", "state": "optimized geometry", "lattice": [[4.474, 0.000, 0.000], [0.000, 4.474, 0.000], [0.000, 0.000, 4.474]], "species": ["V", "Si", "P", "P", "P"], "fractional_positions": [[0.000, 0.000, 0.000], [0.500, 0.500, 0.500], [0.000, 0.500, 0.500], [0.500, 0.000, 0.500], [0.500, 0.500, 0.000]], "sg": "No. 221", "volume_a3_per_cell": 90}

***

<Q>
{"formula": "VSiP3", "functional": "PBE-GGA", "state": "optimized geometry", "lattice": [[4.528, 0.000, 0.000], [0.000, 4.528, 0.000], [0.000, 0.000, 4.528]], "species": ["V", "Si", "P", "P", "P"], "fractional_positions": [[0.000, 0.000, 0.000], [0.500, 0.500, 0.500], [0.000, 0.000, 0.500], [0.000, 0.500, 0.000], [0.500, 0.000, 0.000]], "sg": "No. 221", "volume_a3_per_cell": 93}

***

Short version: <P> is the least stable of them.

***

<P>
{"formula": "SiP3W", "functional": "PBE-GGA", "state": "optimized geometry", "lattice": [[4.705, 0.000, 0.000], [0.000, 4.705, 0.000], [0.000, 0.000, 4.705]], "species": ["Si", "P", "P", "P", "W"], "fractional_positions": [[0.000, 0.000, 0.000], [0.000, 0.500, 0.500], [0.500, 0.000, 0.500], [0.500, 0.500, 0.000], [0.500, 0.500, 0.500]], "sg": "No. 221", "volume_a3_per_cell": 104}

***

<Q>
{"formula": "SiP3W", "functional": "PBE-GGA", "state": "optimized geometry", "lattice": [[4.380, 0.000, 0.000], [0.000, 4.380, 0.000], [0.000, 0.000, 4.380]], "species": ["Si", "P", "P", "P", "W"], "fractional_positions": [[0.000, 0.000, 0.000], [0.000, 0.000, 0.500], [0.000, 0.500, 0.000], [0.500, 0.000, 0.000], [0.500, 0.500, 0.500]], "sg": "No. 221", "volume_a3_per_cell": 84}

***

Short version: <Q> is the least stable of them.

***

<P>
{"formula": "YSi2P2", "functional": "PBE-GGA", "state": "optimized geometry", "lattice": [[-1.857, 1.857, 6.609], [1.857, -1.857, 6.609], [1.857, 1.857, -6.609]], "species": ["Y", "Si", "Si", "P", "P"], "fractional_positions": [[0.000, 0.000, 0.000], [0.250, 0.750, 0.500], [0.750, 0.250, 0.500], [0.412, 0.412, 0.000], [0.588, 0.588, 0.000]], "sg": "No. 139", "volume_a3_per_cell": 91}

***

<Q>
{"formula": "YSi2P2", "functional": "PBE-GGA", "state": "optimized geometry", "lattice": [[-2.356, 2.356, 3.980], [2.356, -2.356, 3.980], [2.356, 2.356, -3.980]], "species": ["Y", "Si", "Si", "P", "P"], "fractional_positions": [[0.000, 0.000, 0.000], [0.351, 0.351, 0.000], [0.649, 0.649, 0.000], [0.250, 0.750, 0.500], [0.750, 0.250, 0.500]], "sg": "No. 139", "volume_a3_per_cell": 88}

***

Short version: <P> is the least stable of them.